VASP calculation (GGA-PBE) on a geometry-optimized NdDy9Tl2 structure.

Lattice parameters (Å, degrees): 4.8749 4.8749 15.0805 90.00 90.00 90.00
Last column: nearest neighbours and their distance in Å.
Positions (direct):
Nd  0.0000  0.0000  0.0000  12 Dy 3.45-3.58
Dy  0.0000  0.5000  0.1740  8 Dy 3.45-3.58, 2 Tl 3.49, 2 Nd 3.58
Dy  0.0000  0.5000  0.5000  4 Tl 3.43, 8 Dy 3.44-3.45
Dy  0.0000  0.5000  0.8260  8 Dy 3.45-3.58, 2 Tl 3.49, 2 Nd 3.58
Dy  0.5000  0.0000  0.1740  8 Dy 3.45-3.58, 2 Tl 3.49, 2 Nd 3.58
Dy  0.5000  0.0000  0.5000  4 Tl 3.43, 8 Dy 3.44-3.45
Dy  0.5000  0.0000  0.8260  8 Dy 3.45-3.58, 2 Tl 3.49, 2 Nd 3.58
Dy  0.5000  0.5000  0.0000  4 Nd 3.45, 8 Dy 3.58
Dy  0.5000  0.5000  0.3387  8 Dy 3.44-3.48, 4 Tl 3.45
Dy  0.5000  0.5000  0.6613  8 Dy 3.44-3.48, 4 Tl 3.45
Tl  0.0000  0.0000  0.3400  12 Dy 3.43-3.49
Tl  0.0000  0.0000  0.6600  12 Dy 3.43-3.49

## Properties
Final energy ... -4.347 eV per atom
Volume ... 29.9 A^3/atom
Total moment ... 0.000 μB/atom

---

VASP calculation (GGA-PBE) on a geometry-optimized Nd5DyTl4 structure.

Lattice parameters (Å, degrees): 3.6950 3.6950 22.4820 90.00 90.00 90.00
Last column: nearest neighbours and their distance in Å.
Positions (direct):
Nd  0.0000  0.0000  0.0000  8 Tl 3.40, 4 Nd 3.70
Nd  0.0000  0.0000  0.1939  8 Tl 3.40, 4 Nd 3.70
Nd  0.0000  0.0000  0.3871  4 Tl 3.39, 4 Dy 3.64, 4 Nd 3.70
Nd  0.0000  0.0000  0.6129  4 Tl 3.39, 4 Dy 3.64, 4 Nd 3.70
Nd  0.0000  0.0000  0.8061  8 Tl 3.40, 4 Nd 3.70
Dy  0.5000  0.5000  0.5000  8 Nd 3.64, 4 Dy 3.70
Tl  0.5000  0.5000  0.0969  8 Nd 3.40, 4 Tl 3.70
Tl  0.5000  0.5000  0.2907  8 Nd 3.39-3.40, 4 Tl 3.70
Tl  0.5000  0.5000  0.7093  8 Nd 3.39-3.40, 4 Tl 3.70
Tl  0.5000  0.5000  0.9031  8 Nd 3.40, 4 Tl 3.70

## Properties
E above lowest polymorph ... 0.00 kJ per mole of atoms
Volume ... 30.7 A^3/atom
Total moment ... 0.000 μB/atom

---

VASP calculation (GGA-PBE) on a geometry-optimized Nd4Dy3Tl structure.

Lattice parameters (Å, degrees): 10.1601 7.0467 7.1394 90.00 90.00 90.00
Last column: nearest neighbours and their distance in Å.
Positions (direct):
Nd  0.0000  0.0003  0.0000  6 Dy 3.52-3.55, 2 Tl 3.57, 4 Nd 3.57
Nd  0.0000  0.4989  0.5008  2 Tl 3.52-3.53, 4 Nd 3.56-3.57, 6 Dy 3.57-3.59
Nd  0.2495  0.7489  0.2505  6 Dy 3.49-3.57, 4 Nd 3.56-3.57, 2 Tl 3.57-3.58
Nd  0.2505  0.2511  0.7505  6 Dy 3.49-3.57, 4 Nd 3.56-3.57, 2 Tl 3.57-3.58
Nd  0.5000  0.9997  0.5000  6 Dy 3.52-3.55, 2 Tl 3.57, 4 Nd 3.57
Nd  0.5000  0.5011  0.0008  2 Tl 3.52-3.53, 4 Nd 3.56-3.57, 6 Dy 3.57-3.59
Nd  0.7495  0.2511  0.7505  6 Dy 3.49-3.57, 4 Nd 3.56-3.57, 2 Tl 3.57-3.58
Nd  0.7505  0.7489  0.2505  6 Dy 3.49-3.57, 4 Nd 3.56-3.57, 2 Tl 3.57-3.58
Dy  0.0000  0.4998  0.0003  8 Nd 3.52-3.57, 4 Dy 3.59
Dy  0.2501  0.2437  0.2504  8 Nd 3.49-3.59, 2 Tl 3.55, 2 Dy 3.59
Dy  0.2499  0.7563  0.7504  8 Nd 3.49-3.59, 2 Tl 3.55, 2 Dy 3.59
Dy  0.5000  0.5002  0.5003  8 Nd 3.52-3.57, 4 Dy 3.59
Dy  0.7499  0.2437  0.2504  8 Nd 3.49-3.59, 2 Tl 3.55, 2 Dy 3.59
Dy  0.7501  0.7563  0.7504  8 Nd 3.49-3.59, 2 Tl 3.55, 2 Dy 3.59
Tl  0.0000  0.9997  0.5005  8 Nd 3.52-3.58, 4 Dy 3.55
Tl  0.5000  0.0003  0.0005  8 Nd 3.52-3.58, 4 Dy 3.55

## Properties
E above lowest polymorph ... 1.36 kJ per mole of atoms
Volume ... 31.9 A^3/atom
Total moment ... 0.000 μB/atom

---

VASP calculation (GGA-PBE) on a geometry-optimized Nd3DyTl structure.

Lattice parameters (Å, degrees): 13.2136 13.2136 4.9186 90.00 90.00 158.59
Last column: nearest neighbours and their distance in Å.
Positions (direct):
Nd  0.0526  0.9474  0.7500  8 Nd 3.47-3.71, 2 Dy 3.55, 2 Tl 3.59
Nd  0.2509  0.7491  0.7500  4 Nd 3.47, 4 Tl 3.50-3.53, 4 Dy 3.54-3.57
Nd  0.4454  0.5546  0.7500  8 Nd 3.47-3.75, 2 Dy 3.51, 2 Tl 3.55
Nd  0.5546  0.4454  0.2500  8 Nd 3.47-3.75, 2 Dy 3.51, 2 Tl 3.55
Nd  0.7491  0.2509  0.2500  4 Nd 3.47, 4 Tl 3.50-3.53, 4 Dy 3.54-3.57
Nd  0.9474  0.0526  0.2500  8 Nd 3.47-3.71, 2 Dy 3.55, 2 Tl 3.59
Dy  0.3488  0.6512  0.2500  4 Tl 3.47, 8 Nd 3.51-3.57
Dy  0.6512  0.3488  0.7500  4 Tl 3.47, 8 Nd 3.51-3.57
Tl  0.1533  0.8467  0.2500  4 Dy 3.47, 8 Nd 3.50-3.59
Tl  0.8467  0.1533  0.7500  4 Dy 3.47, 8 Nd 3.50-3.59

## Properties
E above lowest polymorph ... 0.00 kJ per mole of atoms
Volume ... 31.3 A^3/atom
Total moment ... 0.000 μB/atom

---

VASP calculation (GGA-PBE) on a geometry-optimized NdDy4Tl5 structure.

Lattice parameters (Å, degrees): 3.7863 3.7863 19.3823 90.00 90.00 90.00
Last column: nearest neighbours and their distance in Å.
Positions (direct):
Nd  0.0000  0.0000  0.0000  8 Tl 3.39, 4 Nd 3.79
Dy  0.0000  0.0000  0.2051  8 Tl 3.28-3.29
Dy  0.0000  0.0000  0.4017  8 Tl 3.28-3.29
Dy  0.0000  0.0000  0.5983  8 Tl 3.28-3.29
Dy  0.0000  0.0000  0.7949  8 Tl 3.28-3.29
Tl  0.5000  0.5000  0.1071  4 Dy 3.28, 4 Nd 3.39
Tl  0.5000  0.5000  0.3037  8 Dy 3.28-3.29
Tl  0.5000  0.5000  0.5000  8 Dy 3.29
Tl  0.5000  0.5000  0.6963  8 Dy 3.28-3.29
Tl  0.5000  0.5000  0.8929  4 Dy 3.28, 4 Nd 3.39

## Properties
Final energy ... -3.853 eV per atom
Volume ... 27.8 A^3/atom
Total moment ... 0.000 μB/atom

---

VASP calculation (GGA-PBE) on a geometry-optimized Nd3Dy3Tl2 structure.

Lattice parameters (Å, degrees): 6.6028 6.6028 16.2675 90.00 90.00 133.69
Last column: nearest neighbours and their distance in Å.
Positions (direct):
Nd  0.0434  0.9566  0.6052  1 Tl 3.37, 6 Dy 3.51-3.65, 2 Nd 3.58-3.70
Nd  0.0434  0.9566  0.8948  1 Tl 3.37, 6 Dy 3.51-3.65, 2 Nd 3.58-3.70
Nd  0.2782  0.7218  0.7500  4 Tl 3.27, 3 Dy 3.42-3.62
Nd  0.7218  0.2782  0.2500  4 Tl 3.27, 3 Dy 3.42-3.62
Nd  0.9566  0.0434  0.1052  1 Tl 3.37, 6 Dy 3.51-3.65, 2 Nd 3.58-3.70
Nd  0.9566  0.0434  0.3948  1 Tl 3.37, 6 Dy 3.51-3.65, 2 Nd 3.58-3.70
Dy  0.3653  0.6347  0.5374  3 Tl 3.14-3.21, 1 Dy 3.49
Dy  0.3653  0.6347  0.9626  3 Tl 3.14-3.21, 1 Dy 3.49
Dy  0.4405  0.5595  0.2500  2 Tl 3.21, 5 Nd 3.42-3.51
Dy  0.5595  0.4405  0.7500  2 Tl 3.21, 5 Nd 3.42-3.51
Dy  0.6347  0.3653  0.0374  3 Tl 3.14-3.21, 1 Dy 3.49
Dy  0.6347  0.3653  0.4626  3 Tl 3.14-3.21, 1 Dy 3.49
Tl  0.2321  0.7679  0.1284  4 Dy 3.14-3.21, 3 Nd 3.27-3.37
Tl  0.2321  0.7679  0.3716  4 Dy 3.14-3.21, 3 Nd 3.27-3.37
Tl  0.7679  0.2321  0.6284  4 Dy 3.14-3.21, 3 Nd 3.27-3.37
Tl  0.7679  0.2321  0.8716  4 Dy 3.14-3.21, 3 Nd 3.27-3.37

## Properties
E above lowest polymorph ... 7.35 kJ per mole of atoms
Volume ... 32.1 A^3/atom
Total moment ... 0.000 μB/atom

---

VASP calculation (GGA-PBE) on a geometry-optimized Nd6Dy8Tl structure.

Lattice parameters (Å, degrees): 9.4886 9.4886 6.4102 90.00 90.00 120.00
Last column: nearest neighbours and their distance in Å.
Positions (direct):
Nd  0.0907  0.4514  0.3161  1 Nd 3.31, 5 Dy 3.40-3.63
Nd  0.3607  0.9093  0.3161  1 Nd 3.31, 5 Dy 3.40-3.63
Nd  0.4514  0.3607  0.6839  1 Nd 3.31, 5 Dy 3.40-3.63
Nd  0.5486  0.6393  0.3161  1 Nd 3.31, 5 Dy 3.40-3.63
Nd  0.6393  0.0907  0.6839  1 Nd 3.31, 5 Dy 3.40-3.63
Nd  0.9093  0.5486  0.6839  1 Nd 3.31, 5 Dy 3.40-3.63
Dy  0.0397  0.2629  0.8126  1 Tl 3.07, 3 Dy 3.35-3.43, 1 Nd 3.40
Dy  0.2232  0.9603  0.8126  1 Tl 3.07, 3 Dy 3.35-3.43, 1 Nd 3.40
Dy  0.2629  0.2232  0.1874  1 Tl 3.07, 3 Dy 3.35-3.43, 1 Nd 3.40
Dy  0.3333  0.6667  0.8296  3 Dy 3.43, 6 Nd 3.72-3.81
Dy  0.6667  0.3333  0.1704  3 Dy 3.43, 6 Nd 3.72-3.81
Dy  0.7371  0.7768  0.8126  1 Tl 3.07, 3 Dy 3.35-3.43, 1 Nd 3.40
Dy  0.7768  0.0397  0.1874  1 Tl 3.07, 3 Dy 3.35-3.43, 1 Nd 3.40
Dy  0.9603  0.7371  0.1874  1 Tl 3.07, 3 Dy 3.35-3.43, 1 Nd 3.40
Tl  0.0000  0.0000  0.5000  6 Dy 3.07

## Properties
Final energy ... -4.443 eV per atom
Volume ... 33.3 A^3/atom
Total moment ... 0.000 μB/atom

---

VASP calculation (GGA-PBE) on a geometry-optimized Nd4Dy3Tl structure.

Lattice parameters (Å, degrees): 11.3623 7.1899 6.2724 90.00 90.00 90.00
Last column: nearest neighbours and their distance in Å.
Positions (direct):
Nd  0.0000  0.1295  0.0000  5 Nd 3.36-3.66, 1 Tl 3.42, 4 Dy 3.46-3.72
Nd  0.0000  0.8689  0.4438  5 Nd 3.36-3.72, 1 Tl 3.48, 4 Dy 3.53-3.63
Nd  0.2286  0.8653  0.8139  1 Tl 3.37, 6 Nd 3.42-3.72, 5 Dy 3.46-3.74
Nd  0.2714  0.1347  0.3139  1 Tl 3.37, 6 Nd 3.42-3.72, 5 Dy 3.46-3.74
Nd  0.5000  0.1311  0.9438  5 Nd 3.36-3.72, 1 Tl 3.48, 4 Dy 3.53-3.63
Nd  0.5000  0.8705  0.5000  5 Nd 3.36-3.66, 1 Tl 3.42, 4 Dy 3.46-3.72
Nd  0.7286  0.1347  0.3139  1 Tl 3.37, 6 Nd 3.42-3.72, 5 Dy 3.46-3.74
Nd  0.7714  0.8653  0.8139  1 Tl 3.37, 6 Nd 3.42-3.72, 5 Dy 3.46-3.74
Dy  0.0000  0.3727  0.4763  4 Dy 3.44-3.56, 6 Nd 3.46-3.72, 2 Tl 3.53-3.57
Dy  0.2459  0.3844  0.7972  2 Tl 3.41-3.51, 4 Dy 3.44-3.56, 6 Nd 3.46-3.74
Dy  0.2541  0.6156  0.2972  2 Tl 3.41-3.51, 4 Dy 3.44-3.56, 6 Nd 3.46-3.74
Dy  0.5000  0.6273  0.9763  4 Dy 3.44-3.56, 6 Nd 3.46-3.72, 2 Tl 3.53-3.57
Dy  0.7459  0.6156  0.2972  2 Tl 3.41-3.51, 4 Dy 3.44-3.56, 6 Nd 3.46-3.74
Dy  0.7541  0.3844  0.7972  2 Tl 3.41-3.51, 4 Dy 3.44-3.56, 6 Nd 3.46-3.74
Tl  0.0000  0.6046  0.9794  4 Nd 3.37-3.48, 6 Dy 3.41-3.57
Tl  0.5000  0.3954  0.4794  4 Nd 3.37-3.48, 6 Dy 3.41-3.57

## Properties
E above lowest polymorph ... 0.00 kJ per mole of atoms
Volume ... 32.0 A^3/atom
Total moment ... 0.000 μB/atom

---

VASP calculation (GGA-PBE) on a geometry-optimized NdDyTl4 structure.

Lattice parameters (Å, degrees): 3.9118 5.0610 8.6809 90.00 90.23 90.00
Last column: nearest neighbours and their distance in Å.
Positions (direct):
Nd  0.0000  0.0000  0.0000  6 Tl 3.24-3.28
Dy  0.0185  0.5000  0.4879  6 Tl 3.20-3.22
Tl  0.3466  0.0000  0.6618  3 Tl 3.06-3.10, 2 Dy 3.21, 1 Nd 3.24
Tl  0.3918  0.5000  0.1597  3 Tl 3.12-3.13, 1 Dy 3.21, 2 Nd 3.26
Tl  0.6448  0.0000  0.3369  3 Tl 3.06-3.12, 2 Dy 3.20, 1 Nd 3.24
Tl  0.6484  0.5000  0.8185  3 Tl 3.10-3.13, 1 Dy 3.22, 2 Nd 3.28

## Properties
E above lowest polymorph ... 0.00 kJ per mole of atoms
Volume ... 28.6 A^3/atom
Total moment ... 0.000 μB/atom

---

VASP calculation (GGA-PBE) on a geometry-optimized Nd2Dy3Tl4 structure.

Lattice parameters (Å, degrees): 9.0679 9.0679 9.1546 90.00 90.00 133.22
Last column: nearest neighbours and their distance in Å.
Positions (direct):
Nd  0.1093  0.8907  0.9230  6 Tl 3.36-3.72
Nd  0.3907  0.6093  0.4230  6 Tl 3.36-3.72
Nd  0.6093  0.3907  0.5770  6 Tl 3.36-3.72
Nd  0.8907  0.1093  0.0770  6 Tl 3.36-3.72
Dy  0.0000  0.0000  0.5000  6 Tl 2.96-3.11
Dy  0.0344  0.4656  0.7500  5 Tl 3.06-3.26
Dy  0.4656  0.0344  0.2500  5 Tl 3.06-3.26
Dy  0.5000  0.5000  0.0000  6 Tl 2.96-3.11
Dy  0.5344  0.9656  0.7500  5 Tl 3.06-3.26
Dy  0.9656  0.5344  0.2500  5 Tl 3.06-3.26
Tl  0.1852  0.8148  0.5415  5 Dy 3.10-3.26
Tl  0.2183  0.2817  0.7500  3 Dy 2.96-3.06
Tl  0.2817  0.2183  0.2500  3 Dy 2.96-3.06
Tl  0.3148  0.6852  0.0415  5 Dy 3.10-3.26
Tl  0.6852  0.3148  0.9585  5 Dy 3.10-3.26
Tl  0.7183  0.7817  0.7500  3 Dy 2.96-3.06
Tl  0.7817  0.7183  0.2500  3 Dy 2.96-3.06
Tl  0.8148  0.1852  0.4585  5 Dy 3.10-3.26

## Properties
E above lowest polymorph ... 5.20 kJ per mole of atoms
Volume ... 30.5 A^3/atom
Total moment ... 0.000 μB/atom

---

VASP calculation (GGA-PBE) on a geometry-optimized NdDyTl6 structure.

Lattice parameters (Å, degrees): 4.8025 4.8025 9.6010 90.00 90.00 90.00
Last column: nearest neighbours and their distance in Å.
Positions (direct):
Nd  0.0000  0.0000  0.0000  12 Tl 3.40-3.42
Dy  0.0000  0.0000  0.5000  12 Tl 3.37-3.40
Tl  0.0000  0.5000  0.2538  8 Tl 3.37-3.42, 2 Dy 3.37, 2 Nd 3.42
Tl  0.0000  0.5000  0.7462  8 Tl 3.37-3.42, 2 Dy 3.37, 2 Nd 3.42
Tl  0.5000  0.0000  0.2538  8 Tl 3.37-3.42, 2 Dy 3.37, 2 Nd 3.42
Tl  0.5000  0.0000  0.7462  8 Tl 3.37-3.42, 2 Dy 3.37, 2 Nd 3.42
Tl  0.5000  0.5000  0.0000  4 Nd 3.40, 8 Tl 3.42
Tl  0.5000  0.5000  0.5000  8 Tl 3.37, 4 Dy 3.40

## Properties
Final energy ... -3.222 eV per atom
Volume ... 27.7 A^3/atom
Total moment ... 0.000 μB/atom

---

> total moment of number 3 (Nd4Dy3Tl)?

0.000 μB/atom

---

> What is the formula in the third record?

Nd4Dy3Tl